The following is a DFT calculation (PBE) of a relaxed Zn2BAu crystal.

Structure (POSCAR):
```
Zn2BAu
1.0
0.000 3.065 3.065
3.065 0.000 3.065
3.065 3.065 0.000
Zn B Au
2 1 1
direct
0.250 0.250 0.250 Zn
0.750 0.750 0.750 Zn
0.000 0.000 0.000 B
0.500 0.500 0.500 Au
```

## Properties
theoretical density: 9.759 g/cm3
E_tot: -9.83 eV per formula unit
magnetization: 0.00 μB/f.u.
energy relative to the elements: 0.6682 eV/atom